DFT (PBE-GGA) results for a relaxed structure of CaCdPF.

## Properties
formation energy from raw total energies	-39.90	kcal/mol of atoms

abc: 4.1444 4.1444 8.8179
angles: 90.00 90.00 90.00
Closest atoms and distances in Å follow each position.
Fractional positions:
P1 0.5000 0.0000 0.6969  4 Cd 2.70
Cd1 0.0000 0.0000 0.5000  4 P 2.70, 4 Cd 2.93
F1 0.5000 0.5000 0.0000  4 Ca 2.40
Ca1 0.0000 0.5000 0.8620  4 F 2.40
Cd2 0.5000 0.5000 0.5000  4 P 2.70, 4 Cd 2.93
Ca2 0.5000 0.0000 0.1380  4 F 2.40
P2 0.0000 0.5000 0.3031  4 Cd 2.70
F2 0.0000 0.0000 0.0000  4 Ca 2.40